(1)
Tb4Sm3Pd4 (PBE-GGA, optimized geometry); crystal system = orthorhombic
1.0
4.762 0.000 0.000
0.000 7.632 0.000
-2.381 -3.816 7.800
Tb Sm Pd
4 3 4
Direct
0.329 0.112 0.657
0.671 0.455 0.343
0.671 0.888 0.343
0.329 0.545 0.657
0.102 0.102 0.204
0.898 0.898 0.796
0.000 0.500 0.000
0.204 0.704 0.409
0.796 0.296 0.591
0.500 0.816 0.000
0.500 0.184 0.000

(2)
Tb4SmPd2 (PBE-GGA, optimized geometry); excess energy over the best structure of this formula in the dataset = 0.0625 eV per atom; crystal system = trigonal
1.0
-3.140 2.058 -1.292
-3.354 0.047 2.125
2.764 12.937 7.789
Tb Sm Pd
4 1 2
Direct
0.698 0.698 0.906
0.896 0.896 0.312
0.302 0.302 0.094
0.104 0.104 0.688
0.500 0.500 0.500
0.599 0.599 0.203
0.401 0.401 0.797

(3)
TbSm3Pd3 (PBE-GGA, optimized geometry); crystal system = monoclinic
1.0
6.976 1.188 0.323
-2.044 6.775 0.323
-0.386 -0.623 7.164
Tb Sm Pd
2 6 6
Direct
0.742 0.742 0.876
0.258 0.258 0.124
0.654 0.654 0.369
0.177 0.823 0.500
0.823 0.177 0.500
0.252 0.748 0.000
0.748 0.252 0.000
0.346 0.346 0.631
0.937 0.937 0.189
0.982 0.499 0.720
0.499 0.982 0.720
0.018 0.501 0.280
0.501 0.018 0.280
0.063 0.063 0.811

(4)
Tb3SmPd (PBE-GGA, optimized geometry); excess energy over the best structure of this formula in the dataset = 0.0100 eV per atom; crystal system = monoclinic
1.0
7.367 -0.160 -0.027
-2.170 7.042 0.027
-2.913 -3.204 5.994
Tb Sm Pd
6 2 2
Direct
0.840 0.048 0.280
0.232 0.441 0.280
0.768 0.559 0.720
0.717 0.448 0.165
0.160 0.952 0.720
0.283 0.552 0.835
0.716 0.058 0.774
0.284 0.942 0.226
0.631 0.750 0.381
0.369 0.250 0.619

(5)
Tb2SmPd (PBE-GGA, optimized geometry); excess energy over the best structure of this formula in the dataset = 0.0000 eV per atom; crystal system = orthorhombic
1.0
-3.372 -1.186 5.463
0.279 -6.968 -1.340
8.365 -0.631 5.026
Tb Sm Pd
8 4 4
Direct
0.172 0.680 0.060
0.328 0.180 0.440
0.828 0.320 0.560
0.672 0.820 0.940
0.828 0.320 0.940
0.672 0.820 0.560
0.172 0.680 0.440
0.328 0.180 0.060
0.635 0.521 0.250
0.865 0.021 0.250
0.365 0.479 0.750
0.135 0.979 0.750
0.069 0.387 0.250
0.431 0.887 0.250
0.931 0.613 0.750
0.569 0.113 0.750

(6)
Tb2SmPd (PBE-GGA, optimized geometry); excess energy over the best structure of this formula in the dataset = 0.0175 eV per atom; crystal system = orthorhombic
1.0
-1.982 -3.237 0.213
3.726 0.301 5.319
-6.896 4.523 4.575
Tb Sm Pd
4 2 2
Direct
0.364 0.728 0.560
0.636 0.272 0.440
0.364 0.728 0.940
0.636 0.272 0.060
0.936 0.873 0.250
0.064 0.127 0.750
0.764 0.528 0.750
0.236 0.472 0.250

(7)
TbSm2Pd9 (PBE-GGA, optimized geometry); crystal system = tetragonal
1.0
-3.857 0.918 1.267
1.106 -0.786 3.935
3.317 11.936 1.451
Tb Sm Pd
1 2 9
Direct
0.000 0.000 0.000
0.000 0.000 0.332
0.000 0.000 0.668
0.500 0.500 0.000
0.500 0.500 0.333
0.500 0.500 0.667
0.500 0.000 0.164
0.500 0.000 0.500
0.500 0.000 0.836
0.000 0.500 0.164
0.000 0.500 0.500
0.000 0.500 0.836

(8)
Tb3Sm3Pd4 (PBE-GGA, optimized geometry); crystal system = orthorhombic
1.0
3.981 0.000 0.000
0.000 7.908 0.011
0.000 0.080 7.907
Tb Sm Pd
3 3 4
Direct
0.000 0.499 0.000
0.000 0.000 0.501
0.500 0.168 0.832
0.500 0.833 0.167
0.500 0.332 0.334
0.500 0.666 0.668
0.000 0.629 0.371
0.000 0.366 0.634
0.000 0.874 0.868
0.000 0.132 0.126

(9)
Tb2SmPd (PBE-GGA, optimized geometry); excess energy over the best structure of this formula in the dataset = 0.1532 eV per atom; crystal system = trigonal
1.0
-0.345 0.655 -3.774
1.744 -2.321 -2.522
-7.099 -5.969 -2.346
Tb Sm Pd
2 1 1
Direct
0.063 0.063 0.810
0.270 0.270 0.191
0.501 0.501 0.497
0.666 0.666 0.002

(10)
Tb3SmPd (PBE-GGA, optimized geometry); excess energy over the best structure of this formula in the dataset = 0.1222 eV per atom; crystal system = cubic
1.0
5.494 0.000 0.000
0.000 5.494 0.000
0.000 0.000 5.494
Tb Pd Sm
3 1 1
Direct
0.000 0.500 0.000
0.000 0.000 0.500
0.500 0.000 0.000
0.000 0.000 0.000
0.500 0.500 0.500

(11)
TbSm2Pd (PBE-GGA, optimized geometry); excess energy over the best structure of this formula in the dataset = 0.0000 eV per atom; crystal system = orthorhombic
1.0
3.852 0.001 0.000
-1.925 6.092 0.000
0.000 0.000 9.691
Tb Sm Pd
2 4 2
Direct
0.930 0.859 0.250
0.070 0.141 0.750
0.365 0.730 0.560
0.635 0.270 0.440
0.365 0.730 0.940
0.635 0.270 0.060
0.764 0.529 0.750
0.236 0.471 0.250

(12)
Tb4SmPd2 (PBE-GGA, optimized geometry); excess energy over the best structure of this formula in the dataset = 0.0000 eV per atom; crystal system = monoclinic
1.0
-0.227 1.802 6.202
2.620 -7.072 2.150
6.040 5.344 -1.332
Tb Sm Pd
8 2 4
Direct
0.506 0.406 0.769
0.250 0.246 0.350
0.750 0.754 0.650
0.994 0.406 0.769
0.750 0.021 0.390
0.006 0.594 0.231
0.494 0.594 0.231
0.250 0.979 0.610
0.250 0.848 0.975
0.750 0.152 0.025
0.250 0.246 0.994
0.750 0.754 0.006
0.750 0.383 0.419
0.250 0.617 0.581

no.,formation energy from the elements (meV/atom)
1,-555
2,-354
3,-644
4,-245
5,-454
6,-436
7,-823
8,-690
9,-301
10,-133
11,-417
12,-416